No. 1
{
  "formula": "CuAg2Au",
  "functional": "PBE",
  "state": "relaxed",
  "final_energy_ev_per_atom": -3.27,
  "delta_e_f_ev_per_atom": -0.005,
  "dos_at_fermi_per_ev_atom": 0.27,
  "e_above_lowest_polymorph_ev_per_atom": 0.004,
  "lattice": [[4.159, 0.000, 0.000], [0.000, 4.159, 0.000], [0.000, 0.000, 7.642]],
  "species": ["Cu", "Cu", "Ag", "Ag", "Ag", "Ag", "Au", "Au"],
  "fractional_positions": [[0.250, 0.750, 0.000], [0.750, 0.250, 0.000], [0.250, 0.250, 0.230], [0.250, 0.750, 0.500], [0.750, 0.250, 0.500], [0.750, 0.750, 0.770], [0.250, 0.250, 0.776], [0.750, 0.750, 0.224]]
}

No. 2
{
  "formula": "CuAg9Au2",
  "functional": "PBE",
  "state": "relaxed",
  "final_energy_ev_per_atom": -3.01,
  "delta_e_f_ev_per_atom": 0.019,
  "dos_at_fermi_per_ev_atom": 0.24,
  "lattice": [[5.036, 0.000, 0.000], [0.819, 6.446, 0.000], [0.863, 0.427, 6.498]],
  "species": ["Cu", "Ag", "Ag", "Ag", "Ag", "Ag", "Ag", "Ag", "Ag", "Ag", "Au", "Au"],
  "fractional_positions": [[0.000, 0.000, 0.000], [0.002, 0.329, 0.671], [0.244, 0.247, 0.248], [0.249, 0.918, 0.588], [0.500, 0.164, 0.836], [0.500, 0.500, 0.500], [0.500, 0.836, 0.164], [0.751, 0.082, 0.412], [0.756, 0.753, 0.752], [0.998, 0.671, 0.329], [0.248, 0.594, 0.917], [0.752, 0.406, 0.083]]
}

No. 3
{
  "formula": "Cu4AgAu2",
  "functional": "PBE",
  "state": "relaxed",
  "final_energy_ev_per_atom": -3.38,
  "delta_e_f_ev_per_atom": 0.301,
  "dos_at_fermi_per_ev_atom": 0.12,
  "lattice": [[-2.452, 2.452, 4.753], [2.452, -2.452, 4.753], [2.452, 2.452, -4.753]],
  "species": ["Cu", "Cu", "Cu", "Cu", "Ag", "Au", "Au"],
  "fractional_positions": [[0.000, 0.500, 0.500], [0.250, 0.750, 0.500], [0.500, 0.000, 0.500], [0.750, 0.250, 0.500], [0.000, 0.000, 0.000], [0.352, 0.352, 0.000], [0.648, 0.648, 0.000]]
}